(A)
# Tc3NiCl | Alexandria via LeMat-Bulk | PBE-GGA | relaxed
# DOS at the Fermi energy: 3.318 states/eV per cell
data_Tc3NiCl
_chemical_formula_sum 'Tc3 Ni1 Cl1'
_space_group_name_H-M_alt 'P m -3 m'
_space_group_IT_number 221
_space_group_name_Hall '-P 4 2 3'
_cell_length_a 4.289
_cell_length_b 4.289
_cell_length_c 4.289
_cell_angle_alpha 90.00
_cell_angle_beta 90.00
_cell_angle_gamma 90.00
loop_
_atom_site_label
_atom_site_type_symbol
_atom_site_fract_x
_atom_site_fract_y
_atom_site_fract_z
_atom_site_occupancy
Tc1 Tc 0.000 0.000 0.500 1
Ni1 Ni 0.500 0.500 0.500 1
Cl1 Cl 0.000 0.000 0.000 1

---

(B)
# Tc3NiCl | Alexandria via LeMat-Bulk | PBE-GGA | relaxed
# DOS at the Fermi energy: 6.532 states/eV per cell
data_Tc3NiCl
_chemical_formula_sum 'Tc3 Ni1 Cl1'
_space_group_name_H-M_alt 'P m -3 m'
_space_group_IT_number 221
_space_group_name_Hall '-P 4 2 3'
_cell_length_a 4.570
_cell_length_b 4.570
_cell_length_c 4.570
_cell_angle_alpha 90.00
_cell_angle_beta 90.00
_cell_angle_gamma 90.00
loop_
_atom_site_label
_atom_site_type_symbol
_atom_site_fract_x
_atom_site_fract_y
_atom_site_fract_z
_atom_site_occupancy
Tc1 Tc 0.000 0.000 0.500 1
Ni1 Ni 0.000 0.000 0.000 1
Cl1 Cl 0.500 0.500 0.500 1

---

It turns out (A) is the most stable, with the second structure 54.1 kJ/mol of atoms higher.

---

(A)
# Ni2TeCl | Alexandria via LeMat-Bulk | PBE-GGA | relaxed
# DOS at the Fermi energy: 3.456 states/eV per cell
data_Ni2TeCl
_chemical_formula_sum 'Ni2 Te1 Cl1'
_space_group_name_H-M_alt 'P 4 m m'
_space_group_IT_number 99
_cell_length_a 3.313
_cell_length_b 3.313
_cell_length_c 7.000
_cell_angle_alpha 90.00
_cell_angle_beta 90.00
_cell_angle_gamma 90.00
loop_
_space_group_symop_operation_xyz
'x,y,z'
'-y,x,z'
'-x,-y,z'
'y,-x,z'
'-x,y,z'
'y,x,z'
'x,-y,z'
'-y,-x,z'
loop_
_atom_site_label
_atom_site_type_symbol
_atom_site_fract_x
_atom_site_fract_y
_atom_site_fract_z
_atom_site_occupancy
Ni1 Ni 0.000 0.000 0.000 1
Ni2 Ni 0.500 0.500 0.171 1
Te1 Te 0.000 0.000 0.349 1
Cl1 Cl 0.500 0.500 0.836 1

---

(B)
# Ni2TeCl | Alexandria via LeMat-Bulk | PBE-GGA | relaxed
# DOS at the Fermi energy: 5.843 states/eV per cell
data_Ni2TeCl
_chemical_formula_sum 'Ni8 Te4 Cl4'
_space_group_name_H-M_alt 'I -4 2 d'
_space_group_IT_number 122
_space_group_name_Hall 'I -4 2bw'
_cell_length_a 5.677
_cell_length_b 5.677
_cell_length_c 10.190
_cell_angle_alpha 90.00
_cell_angle_beta 90.00
_cell_angle_gamma 90.00
loop_
_atom_site_label
_atom_site_type_symbol
_atom_site_fract_x
_atom_site_fract_y
_atom_site_fract_z
_atom_site_occupancy
Ni1 Ni 0.230 0.250 0.125 1
Te1 Te 0.000 0.000 0.500 1
Cl1 Cl 0.000 0.000 0.000 1

---

It turns out (A) is the most stable, with the second structure 2.6 kJ/mol of atoms higher.

---

(A)
# Ni2TeCl | Alexandria via LeMat-Bulk | PBE-GGA | relaxed
# DOS at the Fermi energy: 5.412 states/eV per cell
data_Ni2TeCl
_chemical_formula_sum 'Ni4 Te2 Cl2'
_space_group_name_H-M_alt 'I m m 2'
_space_group_IT_number 44
_cell_length_a 3.330
_cell_length_b 3.372
_cell_length_c 14.822
_cell_angle_alpha 90.00
_cell_angle_beta 90.00
_cell_angle_gamma 90.00
loop_
_space_group_symop_operation_xyz
'x,y,z'
'-x,-y,z'
'-x,y,z'
'x,-y,z'
'x+1/2,y+1/2,z+1/2'
'-x+1/2,-y+1/2,z+1/2'
'-x+1/2,y+1/2,z+1/2'
'x+1/2,-y+1/2,z+1/2'
loop_
_atom_site_label
_atom_site_type_symbol
_atom_site_fract_x
_atom_site_fract_y
_atom_site_fract_z
_atom_site_occupancy
Ni1 Ni 0.000 0.000 0.000 1
Ni2 Ni 0.000 0.500 0.123 1
Te1 Te 0.000 0.000 0.438 1
Cl1 Cl 0.000 0.500 0.680 1

---

(B)
# Ni2TeCl | Alexandria via LeMat-Bulk | PBE-GGA | relaxed
# DOS at the Fermi energy: 3.533 states/eV per cell
data_Ni2TeCl
_chemical_formula_sum 'Ni2 Te1 Cl1'
_space_group_name_H-M_alt 'P m m m'
_space_group_IT_number 47
_cell_length_a 3.259
_cell_length_b 3.514
_cell_length_c 6.255
_cell_angle_alpha 90.00
_cell_angle_beta 90.00
_cell_angle_gamma 90.00
loop_
_space_group_symop_operation_xyz
'x,y,z'
'-x,-y,-z'
'-x,-y,z'
'x,y,-z'
'x,-y,-z'
'-x,y,z'
'-x,y,-z'
'x,-y,z'
loop_
_atom_site_label
_atom_site_type_symbol
_atom_site_fract_x
_atom_site_fract_y
_atom_site_fract_z
_atom_site_occupancy
Ni1 Ni 0.000 0.000 0.199 1
Te1 Te 0.500 0.500 0.000 1
Cl1 Cl 0.500 0.000 0.500 1

---

It turns out (B) is the most stable, with the second structure 4.9 kJ/mol of atoms higher.

---

(A)
# Ni2TeCl | Alexandria via LeMat-Bulk | PBE-GGA | relaxed
# DOS at the Fermi energy: 6.406 states/eV per cell
data_Ni2TeCl
_chemical_formula_sum 'Ni4 Te2 Cl2'
_space_group_name_H-M_alt 'I m m m'
_space_group_IT_number 71
_space_group_name_Hall '-I 2 2'
_cell_length_a 3.557
_cell_length_b 6.153
_cell_length_c 6.795
_cell_angle_alpha 90.00
_cell_angle_beta 90.00
_cell_angle_gamma 90.00
loop_
_atom_site_label
_atom_site_type_symbol
_atom_site_fract_x
_atom_site_fract_y
_atom_site_fract_z
_atom_site_occupancy
Ni1 Ni 0.000 0.000 0.233 1
Te1 Te 0.000 0.500 0.000 1
Cl1 Cl 0.000 0.500 0.500 1

---

(B)
# Ni2TeCl | Alexandria via LeMat-Bulk | PBE-GGA | relaxed
# DOS at the Fermi energy: 18.553 states/eV per cell
data_Ni2TeCl
_chemical_formula_sum 'Ni8 Te4 Cl4'
_space_group_name_H-M_alt 'F -4 3 m'
_space_group_IT_number 216
_space_group_name_Hall 'F -4 2 3'
_cell_length_a 6.490
_cell_length_b 6.490
_cell_length_c 6.490
_cell_angle_alpha 90.00
_cell_angle_beta 90.00
_cell_angle_gamma 90.00
loop_
_atom_site_label
_atom_site_type_symbol
_atom_site_fract_x
_atom_site_fract_y
_atom_site_fract_z
_atom_site_occupancy
Ni1 Ni 0.000 0.000 0.000 1
Ni2 Ni 0.250 0.250 0.250 1
Te1 Te 0.000 0.000 0.500 1
Cl1 Cl 0.250 0.250 0.750 1

---

(C)
# Ni2TeCl | Alexandria via LeMat-Bulk | PBE-GGA | relaxed
# DOS at the Fermi energy: 5.497 states/eV per cell
data_Ni2TeCl
_chemical_formula_sum 'Ni4 Te2 Cl2'
_space_group_name_H-M_alt 'C 1 2/m 1'
_space_group_IT_number 12
_cell_length_a 6.112
_cell_length_b 3.536
_cell_length_c 6.699
_cell_angle_alpha 90.00
_cell_angle_beta 107.56
_cell_angle_gamma 90.00
loop_
_space_group_symop_operation_xyz
'x,y,z'
'-x,-y,-z'
'-x,y,-z'
'x,-y,z'
'x+1/2,y+1/2,z'
'-x+1/2,-y+1/2,-z'
'-x+1/2,y+1/2,-z'
'x+1/2,-y+1/2,z'
loop_
_atom_site_label
_atom_site_type_symbol
_atom_site_fract_x
_atom_site_fract_y
_atom_site_fract_z
_atom_site_occupancy
Ni1 Ni 0.247 0.000 0.244 1
Te1 Te 0.000 0.500 0.000 1
Cl1 Cl 0.000 0.000 0.500 1

---

(D)
# Ni2TeCl | Alexandria via LeMat-Bulk | PBE-GGA | relaxed
# DOS at the Fermi energy: 45.139 states/eV per cell
data_Ni2TeCl
_chemical_formula_sum 'Ni8 Te4 Cl4'
_space_group_name_H-M_alt 'F m -3 m'
_space_group_IT_number 225
_space_group_name_Hall '-F 4 2 3'
_cell_length_a 6.425
_cell_length_b 6.425
_cell_length_c 6.425
_cell_angle_alpha 90.00
_cell_angle_beta 90.00
_cell_angle_gamma 90.00
loop_
_atom_site_label
_atom_site_type_symbol
_atom_site_fract_x
_atom_site_fract_y
_atom_site_fract_z
_atom_site_occupancy
Ni1 Ni 0.250 0.250 0.250 1
Te1 Te 0.000 0.000 0.000 1
Cl1 Cl 0.000 0.000 0.500 1

---

It turns out (C) is the most stable, with the second structure 24.2 kJ/mol of atoms higher.

---

(A)
# Ni2TeCl | Alexandria via LeMat-Bulk | PBE-GGA | relaxed
# DOS at the Fermi energy: 11.796 states/eV per cell
data_Ni2TeCl
_chemical_formula_sum 'Ni6 Te3 Cl3'
_space_group_name_H-M_alt 'R 3 m'
_space_group_IT_number 160
_space_group_name_Hall 'R 3 -2"'
_cell_length_a 3.6631
_cell_length_b 3.6631
_cell_length_c 21.0723
_cell_angle_alpha 90.00
_cell_angle_beta 90.00
_cell_angle_gamma 120.00
loop_
_atom_site_label
_atom_site_type_symbol
_atom_site_fract_x
_atom_site_fract_y
_atom_site_fract_z
_atom_site_occupancy
Ni1 Ni 0.0000 0.0000 0.0000 1
Ni2 Ni 0.0000 0.0000 0.2767 1
Te1 Te 0.0000 0.0000 0.7249 1
Cl1 Cl 0.0000 0.0000 0.5554 1

---

(B)
# Ni2TeCl | Alexandria via LeMat-Bulk | PBE-GGA | relaxed
# DOS at the Fermi energy: 8.747 states/eV per cell
data_Ni2TeCl
_chemical_formula_sum 'Ni4 Te2 Cl2'
_space_group_name_H-M_alt 'C m m m'
_space_group_IT_number 65
_space_group_name_Hall '-C 2 2'
_cell_length_a 3.355
_cell_length_b 6.562
_cell_length_c 7.166
_cell_angle_alpha 90.00
_cell_angle_beta 90.00
_cell_angle_gamma 90.00
loop_
_atom_site_label
_atom_site_type_symbol
_atom_site_fract_x
_atom_site_fract_y
_atom_site_fract_z
_atom_site_occupancy
Ni1 Ni 0.000 0.000 0.247 1
Te1 Te 0.000 0.500 0.500 1
Cl1 Cl 0.000 0.500 0.000 1

---

It turns out (A) is the most stable, with the second structure 32.6 kJ/mol of atoms higher.

---

(A)
# Ni2TeCl | Alexandria via LeMat-Bulk | PBE-GGA | relaxed
# DOS at the Fermi energy: 4.203 states/eV per cell
data_Ni2TeCl
_chemical_formula_sum 'Ni2 Te1 Cl1'
_space_group_name_H-M_alt 'P m m m'
_space_group_IT_number 47
_cell_length_a 3.172
_cell_length_b 3.901
_cell_length_c 5.917
_cell_angle_alpha 90.00
_cell_angle_beta 90.00
_cell_angle_gamma 90.00
loop_
_space_group_symop_operation_xyz
'x,y,z'
'-x,-y,-z'
'-x,-y,z'
'x,y,-z'
'x,-y,-z'
'-x,y,z'
'-x,y,-z'
'x,-y,z'
loop_
_atom_site_label
_atom_site_type_symbol
_atom_site_fract_x
_atom_site_fract_y
_atom_site_fract_z
_atom_site_occupancy
Ni1 Ni 0.000 0.000 0.000 1
Ni2 Ni 0.000 0.500 0.500 1
Te1 Te 0.500 0.000 0.500 1
Cl1 Cl 0.500 0.500 0.000 1

---

(B)
# Ni2TeCl | Alexandria via LeMat-Bulk | PBE-GGA | relaxed
# DOS at the Fermi energy: 4.446 states/eV per cell
data_Ni2TeCl
_chemical_formula_sum 'Ni2 Te1 Cl1'
_space_group_name_H-M_alt 'P 1 m 1'
_space_group_IT_number 6
_cell_length_a 3.663
_cell_length_b 3.659
_cell_length_c 6.286
_cell_angle_alpha 90.00
_cell_angle_beta 90.00
_cell_angle_gamma 90.00
loop_
_space_group_symop_operation_xyz
'x,y,z'
'x,-y,z'
loop_
_atom_site_label
_atom_site_type_symbol
_atom_site_fract_x
_atom_site_fract_y
_atom_site_fract_z
_atom_site_occupancy
Ni1 Ni 0.000 0.000 0.000 1
Ni2 Ni 0.500 0.500 0.001 1
Te1 Te 0.001 0.500 0.269 1
Cl1 Cl 0.501 0.000 0.749 1

---

It turns out (B) is the most stable, with the second structure 44.1 kJ/mol of atoms higher.